Record 1
# PBE-GGA LaSbAuO, relaxed
data_LaSbAuO
_chemical_formula_sum 'La2 Sb2 Au2 O2'
_cell_length_a 4.3122
_cell_length_b 4.3122
_cell_length_c 9.8343
_cell_angle_alpha 90.00
_cell_angle_beta 90.00
_cell_angle_gamma 90.00
_symmetry_space_group_name_H-M 'P 1'
_symmetry_Int_Tables_number 1
_symmetry_space_group_name_Hall 'P 1'
loop_
_atom_site_label
_atom_site_type_symbol
_atom_site_fract_x
_atom_site_fract_y
_atom_site_fract_z
La1 La 0.2500 0.2500 0.1112
La2 La 0.7500 0.7500 0.8888
Sb1 Sb 0.2500 0.7500 0.5000
Sb2 Sb 0.7500 0.2500 0.5000
Au1 Au 0.2500 0.2500 0.7129
Au2 Au 0.7500 0.7500 0.2871
O1 O 0.2500 0.7500 0.0000
O2 O 0.7500 0.2500 0.0000
# Density of states at the Fermi level = 4.7 states/eV/cell

Record 2
# PBE-GGA LaSc2AuO, relaxed
data_LaSc2AuO
_chemical_formula_sum 'La1 Sc2 Au1 O1'
_cell_length_a 4.4660
_cell_length_b 4.4660
_cell_length_c 4.9642
_cell_angle_alpha 90.00
_cell_angle_beta 90.00
_cell_angle_gamma 90.00
_symmetry_space_group_name_H-M 'P 1'
_symmetry_Int_Tables_number 1
_symmetry_space_group_name_Hall 'P 1'
loop_
_atom_site_label
_atom_site_type_symbol
_atom_site_fract_x
_atom_site_fract_y
_atom_site_fract_z
La1 La 0.0000 0.0000 0.0000
Sc1 Sc 0.0000 0.5000 0.5000
Sc2 Sc 0.5000 0.0000 0.5000
Au1 Au 0.5000 0.5000 0.0000
O1 O 0.0000 0.0000 0.5000
# Density of states at the Fermi level = 5.5 states/eV/cell

Record 3
# PBE-GGA La2ScAuO, relaxed
data_La2ScAuO
_chemical_formula_sum 'La2 Sc1 Au1 O1'
_cell_length_a 5.1560
_cell_length_b 5.1560
_cell_length_c 4.2719
_cell_angle_alpha 90.00
_cell_angle_beta 90.00
_cell_angle_gamma 90.00
_symmetry_space_group_name_H-M 'P 1'
_symmetry_Int_Tables_number 1
_symmetry_space_group_name_Hall 'P 1'
loop_
_atom_site_label
_atom_site_type_symbol
_atom_site_fract_x
_atom_site_fract_y
_atom_site_fract_z
La1 La 0.0000 0.5000 0.0000
La2 La 0.5000 0.0000 0.0000
Sc1 Sc 0.0000 0.0000 0.5000
Au1 Au 0.5000 0.5000 0.5000
O1 O 0.0000 0.0000 0.0000
# Density of states at the Fermi level = 4.7 states/eV/cell

Record 4
# PBE-GGA LaSc4Au3O12, relaxed
data_LaSc4Au3O12
_chemical_formula_sum 'La1 Sc4 Au3 O12'
_cell_length_a 6.8631
_cell_length_b 6.8631
_cell_length_c 6.8631
_cell_angle_alpha 109.47
_cell_angle_beta 109.47
_cell_angle_gamma 109.47
_symmetry_space_group_name_H-M 'P 1'
_symmetry_Int_Tables_number 1
_symmetry_space_group_name_Hall 'P 1'
loop_
_atom_site_label
_atom_site_type_symbol
_atom_site_fract_x
_atom_site_fract_y
_atom_site_fract_z
La1 La 0.0000 0.0000 0.0000
Sc1 Sc 0.0000 0.0000 0.5000
Sc2 Sc 0.0000 0.5000 0.0000
Sc3 Sc 0.5000 0.0000 0.0000
Sc4 Sc 0.5000 0.5000 0.5000
Au1 Au 0.0000 0.5000 0.5000
Au2 Au 0.5000 0.0000 0.5000
Au3 Au 0.5000 0.5000 0.0000
O1 O 0.1344 0.3000 0.8344
O2 O 0.1656 0.4656 0.3000
O3 O 0.1656 0.8656 0.7000
O4 O 0.3000 0.1656 0.4656
O5 O 0.3000 0.8344 0.1344
O6 O 0.4656 0.3000 0.1656
O7 O 0.5344 0.7000 0.8344
O8 O 0.7000 0.1656 0.8656
O9 O 0.7000 0.8344 0.5344
O10 O 0.8344 0.1344 0.3000
O11 O 0.8344 0.5344 0.7000
O12 O 0.8656 0.7000 0.1656
# Density of states at the Fermi level = 0.0 states/eV/cell

Record 5
# PBE-GGA La2AuSe2O2, relaxed
data_La2AuSe2O2
_chemical_formula_sum 'La2 Au1 Se2 O2'
_cell_length_a 4.0786
_cell_length_b 4.0786
_cell_length_c 11.9749
_cell_angle_alpha 90.00
_cell_angle_beta 90.00
_cell_angle_gamma 120.00
_symmetry_space_group_name_H-M 'P 1'
_symmetry_Int_Tables_number 1
_symmetry_space_group_name_Hall 'P 1'
loop_
_atom_site_label
_atom_site_type_symbol
_atom_site_fract_x
_atom_site_fract_y
_atom_site_fract_z
La1 La 0.3333 0.6667 0.1283
La2 La 0.6667 0.3333 0.8717
Au1 Au 0.0000 0.0000 0.5000
Se1 Se 0.0000 0.0000 0.3011
Se2 Se 0.0000 0.0000 0.6989
O1 O 0.3333 0.6667 0.9247
O2 O 0.6667 0.3333 0.0753
# Density of states at the Fermi level = 4.2 states/eV/cell

Record 6
# PBE-GGA Sr2LaAuO, relaxed
data_Sr2LaAuO
_chemical_formula_sum 'Sr2 La1 Au1 O1'
_cell_length_a 5.1981
_cell_length_b 5.1981
_cell_length_c 4.8889
_cell_angle_alpha 90.00
_cell_angle_beta 90.00
_cell_angle_gamma 90.00
_symmetry_space_group_name_H-M 'P 1'
_symmetry_Int_Tables_number 1
_symmetry_space_group_name_Hall 'P 1'
loop_
_atom_site_label
_atom_site_type_symbol
_atom_site_fract_x
_atom_site_fract_y
_atom_site_fract_z
Sr1 Sr 0.0000 0.5000 0.0000
Sr2 Sr 0.5000 0.0000 0.0000
La1 La 0.0000 0.0000 0.5000
Au1 Au 0.5000 0.5000 0.5000
O1 O 0.0000 0.0000 0.0000
# Density of states at the Fermi level = 3.4 states/eV/cell

Record 7
# PBE-GGA SrLa2AuO, relaxed
data_SrLa2AuO
_chemical_formula_sum 'Sr1 La2 Au1 O1'
_cell_length_a 4.9783
_cell_length_b 4.9783
_cell_length_c 5.1788
_cell_angle_alpha 90.00
_cell_angle_beta 90.00
_cell_angle_gamma 90.00
_symmetry_space_group_name_H-M 'P 1'
_symmetry_Int_Tables_number 1
_symmetry_space_group_name_Hall 'P 1'
loop_
_atom_site_label
_atom_site_type_symbol
_atom_site_fract_x
_atom_site_fract_y
_atom_site_fract_z
Sr1 Sr 0.0000 0.0000 0.0000
La1 La 0.0000 0.5000 0.5000
La2 La 0.5000 0.0000 0.5000
Au1 Au 0.5000 0.5000 0.0000
O1 O 0.0000 0.0000 0.5000
# Density of states at the Fermi level = 4.6 states/eV/cell

Record 8
DFT (PBE-GGA) results for SrLa2AuO5 after structural relaxation.

Cell and atoms, written as CIF:
```
data_SrLa2AuO5
_chemical_formula_sum 'Sr2 La4 Au2 O10'
_cell_length_a 6.8885
_cell_length_b 6.8885
_cell_length_c 6.1571
_cell_angle_alpha 90.00
_cell_angle_beta 90.00
_cell_angle_gamma 90.00
_symmetry_space_group_name_H-M 'P 1'
_symmetry_Int_Tables_number 1
_symmetry_space_group_name_Hall 'P 1'
loop_
_atom_site_label
_atom_site_type_symbol
_atom_site_fract_x
_atom_site_fract_y
_atom_site_fract_z
Sr1 Sr 0.0000 0.0000 0.0000
Sr2 Sr 0.5000 0.5000 0.0000
La1 La 0.1734 0.3266 0.5000
La2 La 0.3266 0.8266 0.5000
La3 La 0.6734 0.1734 0.5000
La4 La 0.8266 0.6734 0.5000
Au1 Au 0.0000 0.5000 0.0000
Au2 Au 0.5000 0.0000 0.0000
O1 O 0.0000 0.0000 0.5000
O2 O 0.1525 0.6525 0.2495
O3 O 0.1525 0.6525 0.7505
O4 O 0.3475 0.1525 0.2495
O5 O 0.3475 0.1525 0.7505
O6 O 0.5000 0.5000 0.5000
O7 O 0.6525 0.8475 0.2495
O8 O 0.6525 0.8475 0.7505
O9 O 0.8475 0.3475 0.2495
O10 O 0.8475 0.3475 0.7505
```

Number 1: uncorrected formation energy -1.57 eV/atom. Number 2: uncorrected formation energy -1.42 eV/atom. Number 3: uncorrected formation energy -1.43 eV/atom. Number 4: uncorrected formation energy -2.25 eV/atom. Number 5: uncorrected formation energy -2.05 eV/atom. Number 6: uncorrected formation energy -1.28 eV/atom. Number 7: uncorrected formation energy -1.31 eV/atom. Number 8: uncorrected formation energy -2.40 eV/atom.